1.
The following is a DFT calculation (PBE) of a geometry-optimized MoAs structure.

Geometry as POSCAR:
```
MoAs
1.0
4.7313 -0.0023 -0.0022
3.5192 4.4029 -0.0011
1.0958 0.3008 3.0105
As Mo
2 2
Direct
0.8744 0.6145 0.7556
0.0423 0.9689 0.9944
0.3820 0.1056 0.2562
0.5347 0.4777 0.4938
```

Computed properties:
Energy of formation from the pure elements = -0.122 eV per atom
Symmetry = No. 12
V = 15.69 Å³ per atom

=====

2.
The following is a DFT calculation (PBE) of a geometry-optimized Li5Re structure.

Geometry as POSCAR:
```
Li5Re
1.0
-3.6421 2.5677 -1.9005
-0.9009 -4.2247 2.1932
-0.5395 2.1824 3.9824
Li Re
5 1
Direct
0.3333 0.6667 0.5000
0.3251 0.3251 0.0000
0.6749 0.0000 0.0000
0.0000 0.6749 0.0000
0.6667 0.3333 0.5000
0.0000 0.0000 0.5000
```

Computed properties:
Energy of formation from the pure elements = 0.556 eV per atom
Distance to the lowest polymorph of the same formula = 0.390 eV per atom
Symmetry = No. 189
V = 15.49 Å³ per atom

=====

3.
The following is a DFT calculation (PBE) of a geometry-optimized GaRu2C structure.

Geometry as POSCAR:
```
GaRu2C
1.0
0.0000 2.8977 2.8977
2.8977 0.0000 2.8977
2.8977 2.8977 0.0000
Ga C Ru
1 1 2
Direct
0.5000 0.5000 0.5000
0.0000 0.0000 0.0000
0.2500 0.2500 0.2500
0.7500 0.7500 0.7500
```

Computed properties:
Energy of formation from the pure elements = 0.858 eV per atom
Symmetry = No. 225
V = 12.17 Å³ per atom

=====

4.
The following is a DFT calculation (PBE) of a geometry-optimized Ba2LiW structure.

Geometry as POSCAR:
```
Ba2LiW
1.0
-1.7514 -5.2661 1.0437
0.8425 -2.2994 5.0883
-4.3760 -0.8871 3.4571
Ba W Li
2 1 1
Direct
0.0000 0.0000 0.0000
0.2500 0.2500 0.2500
0.7500 0.7500 0.7500
0.5000 0.5000 0.5000
```

Computed properties:
Energy of formation from the pure elements = 1.154 eV per atom
Distance to the lowest polymorph of the same formula = 0.167 eV per atom
Symmetry = No. 216
V = 31.83 Å³ per atom

=====

5.
The following is a DFT calculation (PBE) of a geometry-optimized AcGaPRh6 structure.

Geometry as POSCAR:
```
AcGaPRh6
1.0
-5.3159 2.9099 -1.0298
-2.2984 -1.0656 8.8534
6.3021 4.0778 -2.6622
Rh Ga P Ac
12 2 2 2
Direct
0.9173 0.1673 0.8345
0.3655 0.6462 0.2592
0.4446 0.6946 0.8892
0.8937 0.6462 0.2592
0.5554 0.3054 0.1108
0.1063 0.3538 0.7408
0.6345 0.3538 0.7408
0.0827 0.8327 0.1655
0.3655 0.1130 0.2592
0.8937 0.1130 0.2592
0.6345 0.8870 0.7408
0.1063 0.8870 0.7408
0.5000 0.0000 0.5000
0.0000 0.0000 0.5000
0.5000 0.5000 0.0000
0.5000 0.0000 0.0000
0.8244 0.5744 0.6489
0.1756 0.4256 0.3511
```

Computed properties:
Energy of formation from the pure elements = -0.248 eV per atom
Symmetry = No. 74
V = 18.01 Å³ per atom

=====

6.
The following is a DFT calculation (PBE) of a geometry-optimized ZnTe4Os structure.

Geometry as POSCAR:
```
ZnTe4Os
1.0
0.0000 4.4154 4.4154
4.4154 0.0000 4.4154
4.4154 4.4154 0.0000
Os Te Zn
1 4 1
Direct
0.0000 0.0000 0.0000
0.3742 0.3742 0.3742
0.3742 0.8773 0.3742
0.3742 0.3742 0.8773
0.8773 0.3742 0.3742
0.7500 0.7500 0.7500
```

Computed properties:
Symmetry = No. 216
Raw formation energy = 1.3645 eV per atom
V = 28.69 Å³ per atom